{
  "formula": "Mg2NiRh",
  "functional": "PBE-GGA",
  "state": "relaxed",
  "e_tot_ev_per_cell": -17.737,
  "magnetic_moment_mub_per_fu": 0.0,
  "spacegroup": "Fm-3m (225)",
  "formation_enthalpy_0k_ev_per_atom": -0.354,
  "lattice": [[-2.460, 3.107, 1.817], [-3.011, 2.067, -2.381], [-4.235, -0.725, 0.735]],
  "species": ["Mg", "Mg", "Ni", "Rh"],
  "fractional_positions": [[0.000, 0.000, 0.000], [0.500, 0.500, 0.500], [0.750, 0.750, 0.750], [0.250, 0.250, 0.250]]
}